# SrCaAl3 | Alexandria via LeMat-Bulk | PBE-GGA | optimized geometry
data_SrCaAl3
_chemical_formula_sum 'Sr1 Ca1 Al3'
_symmetry_space_group_name_H-M 'P 1'
_symmetry_Int_Tables_number 1
_symmetry_space_group_name_Hall 'P 1'
_cell_length_a 5.6916
_cell_length_b 5.6916
_cell_length_c 5.6916
_cell_angle_alpha 90.00
_cell_angle_beta 90.00
_cell_angle_gamma 90.00
loop_
_atom_site_label
_atom_site_fract_x
_atom_site_fract_y
_atom_site_fract_z
Sr1 0.0000 0.0000 0.0000
Ca1 0.5000 0.5000 0.5000
Al1 0.0000 0.5000 0.0000
Al2 0.0000 0.0000 0.5000
Al3 0.5000 0.0000 0.0000
# - symmetry = Pm-3m (221)
# - uncorrected energy (eV per cell) = -10.23
# - energy of formation (eV per atom) = 0.937